Crystalline Pm2Ho4Th3 at its relaxed geometry. Source: the Alexandria database, functional PBE-GGA.

```
Pm2Ho4Th3
1.0
3.566 0.000 0.000
-1.783 3.088 0.000
0.000 0.000 26.597
Pm Ho Th
2 4 3
Direct
0.000 0.000 0.000 Pm
0.000 0.000 0.222 Pm
0.000 0.000 0.349 Ho
0.000 0.000 0.566 Ho
0.333 0.667 0.672 Ho
0.333 0.667 0.889 Ho
0.000 0.000 0.781 Th
0.333 0.667 0.112 Th
0.333 0.667 0.455 Th
```

Calculated values
Space-group type = P3m1
Energy of formation from the pure elements = 80 meV/atom